[1]
VASP calculation (PBE-GGA) on a relaxed HoTiZnAg crystal.

Its formation energy from the elements is -0.0818 eV per atom. The calculation puts the magnetic moment at 6.47 μB/cell.

It has space group F-43m (No. 216), with a = 6.842 Å, b = 6.842 Å, c = 6.842 Å, α = 90.00°, β = 90.00° and γ = 90.00°. The inequivalent atoms are Ho at (0.000, 0.000, 0.000), Ti at (0.000, 0.000, 0.500), Zn at (0.250, 0.250, 0.250) and Ag at (0.250, 0.250, 0.750).

[2]
VASP calculation (PBE-GGA) on a relaxed Ho3Tl3Ag2 crystal.

Its formation energy from the elements is -0.2350 eV per atom. The calculation puts the magnetic moment at 0.00 μB/cell. As for the distance to the lowest polymorph of the same formula: 4.6 kJ/mol of atoms.

It has space group Cmcm (No. 63), with a = 4.676 Å, b = 11.222 Å, c = 15.506 Å, α = 90.00°, β = 90.00° and γ = 90.00°. The inequivalent atoms are Ho at (0.000, 0.081, 0.109), Ho at (0.000, 0.340, 0.250), Tl at (0.000, 0.377, 0.038), Tl at (0.000, 0.381, 0.750) and Ag at (0.000, 0.208, 0.614).

[3]
VASP calculation (PBE-GGA) on a relaxed Ho3Tl2Ag4 crystal.

Its formation energy from the elements is -0.2504 eV per atom. The calculation puts the magnetic moment at 0.00 μB/cell.

It has space group C2/m (No. 12), with a = 10.832 Å, b = 4.890 Å, c = 9.113 Å, α = 90.00°, β = 120.47° and γ = 90.00°. The inequivalent atoms are Ho at (0.000, 0.000, 0.000), Ho at (0.162, 0.500, 0.673), Tl at (0.119, 0.500, 0.283), Ag at (0.054, 0.000, 0.391) and Ag at (0.229, 0.500, 0.057).

[4]
VASP calculation (PBE-GGA) on a relaxed Ho4TlAg2 crystal.

Its formation energy from the elements is -0.0337 eV per atom. The calculation puts the magnetic moment at 0.00 μB/cell. As for the distance to the lowest polymorph of the same formula: 13.2 kJ/mol of atoms.

It has space group R-3m (No. 166, hexagonal axes), with a = 4.9142 Å, b = 4.9142 Å, c = 29.0479 Å, α = 90.00°, β = 90.00° and γ = 120.00°. The inequivalent atoms are Ho at (0.0000, 0.0000, 0.1197), Ho at (0.0000, 0.0000, 0.2968), Tl at (0.0000, 0.0000, 0.5000) and Ag at (0.0000, 0.0000, 0.3991).

[5]
VASP calculation (PBE-GGA) on a relaxed Ho2TlAg3 crystal.

Its formation energy from the elements is -0.1377 eV per atom. The calculation puts the magnetic moment at 0.00 μB/cell. As for the distance to the lowest polymorph of the same formula: 10.3 kJ/mol of atoms.

It has space group Imm2 (No. 44), with a = 3.882 Å, b = 4.042 Å, c = 18.975 Å, α = 90.00°, β = 90.00° and γ = 90.00°. The inequivalent atoms are Ho at (0.000, 0.000, 0.000), Ho at (0.000, 0.500, 0.220), Tl at (0.000, 0.000, 0.405), Ag at (0.000, 0.000, 0.561), Ag at (0.000, 0.500, 0.654) and Ag at (0.000, 0.500, 0.798).

[6]
VASP calculation (PBE-GGA) on a relaxed Ho3Tl2Ag crystal.

Its formation energy from the elements is -0.3326 eV per atom. The calculation puts the magnetic moment at 0.03 μB/cell. As for the distance to the lowest polymorph of the same formula: 0.0 kJ/mol of atoms.

It has space group P4/mmm (No. 123), with a = 3.598 Å, b = 3.598 Å, c = 12.010 Å, α = 90.00°, β = 90.00° and γ = 90.00°. The inequivalent atoms are Ho at (0.000, 0.000, 0.000), Ho at (0.000, 0.000, 0.349), Tl at (0.500, 0.500, 0.175) and Ag at (0.500, 0.500, 0.500).

[7]
VASP calculation (PBE-GGA) on a relaxed HoTl2Ag crystal.

Its formation energy from the elements is -0.0775 eV per atom. The calculation puts the magnetic moment at 0.00 μB/cell.

It has space group P4/mmm (No. 123), with a = 3.646 Å, b = 3.646 Å, c = 7.385 Å, α = 90.00°, β = 90.00° and γ = 90.00°. The inequivalent atoms are Ho at (0.000, 0.000, 0.000), Tl at (0.500, 0.500, 0.271) and Ag at (0.000, 0.000, 0.500).

[8]
VASP calculation (PBE-GGA) on a relaxed HoTl2Ag crystal.

Its formation energy from the elements is -0.1810 eV per atom. The calculation puts the magnetic moment at 0.00 μB/cell.

It has space group P4/mmm (No. 123), with a = 4.803 Å, b = 4.803 Å, c = 4.263 Å, α = 90.00°, β = 90.00° and γ = 90.00°. The inequivalent atoms are Ho at (0.000, 0.000, 0.000), Tl at (0.000, 0.500, 0.500) and Ag at (0.500, 0.500, 0.000).